VASP calculation (PBE-GGA) on an optimized crystal structure of TcAsOs2.

Values from the calculation:
ρ = 15.9 g/cm³
formation energy = 0.288 eV per atom

Cell: 5.1901 5.1901 5.1901 Å, 147.14 129.50 61.57°
Positions (direct):
1 Os 0.7503 0.2503 0.5000
2 Os 0.0287 0.0287 0.0000
3 Tc 0.4717 0.4717 0.0000
4 As 0.2493 0.7493 0.5000